Record 1
AcGe8Os2: relaxed, PBE.

CIF file:
```
data_AcGe8Os2
_space_group_name_H-M_alt 'P 4/m m m'
_space_group_IT_number 123
_space_group_name_Hall '-P 4 2'
_cell_length_a 6.064
_cell_length_b 6.064
_cell_length_c 7.315
_cell_angle_alpha 90.00
_cell_angle_beta 90.00
_cell_angle_gamma 90.00
loop_
_atom_site_label
_atom_site_fract_x
_atom_site_fract_y
_atom_site_fract_z
Ac1 0.000 0.000 0.000
Ge1 0.274 0.274 0.305
Os1 0.000 0.500 0.500
```

Output
Formation energy in eV/atom: 0.190
Uncorrected energy in eV/cell: -61.415
Volume in Å³ per atom: 24.46

Record 2
Ac8GeOs2: relaxed, PBE.

CIF file:
```
data_Ac8GeOs2
_space_group_name_H-M_alt 'C 1 m 1'
_space_group_IT_number 8
_space_group_name_Hall 'C -2y'
_cell_length_a 9.075
_cell_length_b 13.585
_cell_length_c 6.821
_cell_angle_alpha 90.00
_cell_angle_beta 107.60
_cell_angle_gamma 90.00
loop_
_atom_site_label
_atom_site_fract_x
_atom_site_fract_y
_atom_site_fract_z
Ac1 0.000 0.000 0.000
Ac2 0.071 0.365 0.803
Ac3 0.149 0.137 0.589
Ac4 0.233 0.500 0.415
Ac5 0.355 0.214 0.195
Ge1 0.371 0.000 0.403
Os1 0.361 0.309 0.709
```

Output
Formation energy in eV/atom: -0.065
Uncorrected energy in eV/cell: -121.318
Volume in Å³ per atom: 36.43

Record 3
Ac12Ge3Os5: relaxed, PBE.

CIF file:
```
data_Ac12Ge3Os5
_space_group_name_H-M_alt 'I a -3 d'
_space_group_IT_number 230
_space_group_name_Hall '-I 4bd 2c 3'
_cell_length_a 18.062
_cell_length_b 18.062
_cell_length_c 18.062
_cell_angle_alpha 90.00
_cell_angle_beta 90.00
_cell_angle_gamma 90.00
loop_
_atom_site_label
_atom_site_fract_x
_atom_site_fract_y
_atom_site_fract_z
Ac1 0.026 0.058 0.651
Ge1 0.000 0.250 0.125
Os1 0.000 0.000 0.000
Os2 0.000 0.250 0.375
```

Output
Formation energy in eV/atom: 0.025
Uncorrected energy in eV/cell: -950.405
Volume in Å³ per atom: 36.83

Record 4
Ac2Ge3Os: relaxed, PBE.

CIF file:
```
data_Ac2Ge3Os
_space_group_name_H-M_alt 'P m m 2'
_space_group_IT_number 25
_space_group_name_Hall 'P 2 -2'
_cell_length_a 4.412
_cell_length_b 4.557
_cell_length_c 7.573
_cell_angle_alpha 90.00
_cell_angle_beta 90.00
_cell_angle_gamma 90.00
loop_
_atom_site_label
_atom_site_fract_x
_atom_site_fract_y
_atom_site_fract_z
Ac1 0.000 0.000 0.000
Ac2 0.500 0.000 0.481
Ge1 0.000 0.500 0.318
Ge2 0.000 0.500 0.663
Ge3 0.500 0.500 0.849
Os1 0.500 0.500 0.177
```

Output
Formation energy in eV/atom: -0.506
Uncorrected energy in eV/cell: -36.334
Volume in Å³ per atom: 25.38

Record 5
AcGe3Os2: relaxed, PBE.

CIF file:
```
data_AcGe3Os2
_space_group_name_H-M_alt 'C m c m'
_space_group_IT_number 63
_space_group_name_Hall '-C 2c 2'
_cell_length_a 10.151
_cell_length_b 7.897
_cell_length_c 5.795
_cell_angle_alpha 90.00
_cell_angle_beta 90.00
_cell_angle_gamma 90.00
loop_
_atom_site_label
_atom_site_fract_x
_atom_site_fract_y
_atom_site_fract_z
Ac1 0.000 0.161 0.250
Ge1 0.000 0.439 0.750
Ge2 0.182 0.210 0.750
Os1 0.199 0.500 0.000
```

Output
Formation energy in eV/atom: -0.163
Uncorrected energy in eV/cell: -165.583
Volume in Å³ per atom: 19.36

Record 6
AcGeOs: relaxed, PBE.

CIF file:
```
data_AcGeOs
_space_group_name_H-M_alt 'P -6 m 2'
_space_group_IT_number 187
_space_group_name_Hall 'P -6 2'
_cell_length_a 4.3117
_cell_length_b 4.3117
_cell_length_c 4.5444
_cell_angle_alpha 90.00
_cell_angle_beta 90.00
_cell_angle_gamma 120.00
loop_
_atom_site_label
_atom_site_fract_x
_atom_site_fract_y
_atom_site_fract_z
Ac1 0.0000 0.0000 0.0000
Ge1 0.3333 0.6667 0.5000
Os1 0.6667 0.3333 0.5000
```

Output
Formation energy in eV/atom: -0.277
Uncorrected energy in eV/cell: -20.788
Volume in Å³ per atom: 24.39